Version 1
5
Lattice="-3.891 -1.468 -1.466 1.964 -1.604 -3.608 0.648 -3.726 2.010" Properties=species:S:1:pos:R:3 comment="ReP2SCl PBE optimized geometry" m_tot_mub_per_fu=0.00 pbc="T T T"
P 0.982 -0.802 -1.804
S 0.000 0.000 0.000
Re -0.639 -3.399 -1.532
P -1.946 -0.734 -0.733
Cl 0.324 -1.863 1.005

Version 2
5
Lattice="4.642 0.000 0.000 0.000 4.642 0.000 0.000 0.000 4.649" Properties=species:S:1:pos:R:3 comment="ReP2SCl PBE optimized geometry" m_tot_mub_per_fu=0.00 pbc="T T T"
P 2.321 0.000 0.000
P 0.000 2.321 0.000
S 2.321 2.321 2.325
Cl 0.000 0.000 2.325
Re 0.000 0.000 0.000

Of them, the most stable is version 2 and the least stable is version 1.

Version 1
5
Lattice="4.669 0.000 0.000 0.000 4.669 0.000 0.000 0.000 4.528" Properties=species:S:1:pos:R:3 comment="RePS2Cl PBE optimized geometry" m_tot_mub_per_fu=5.06 pbc="T T T"
S 0.000 2.335 0.000
S 2.335 0.000 0.000
Cl 0.000 0.000 2.264
Re 2.335 2.335 2.264
P 0.000 0.000 0.000

Version 2
5
Lattice="4.552 0.000 0.000 0.000 4.552 0.000 0.000 0.000 4.523" Properties=species:S:1:pos:R:3 comment="RePS2Cl PBE optimized geometry" m_tot_mub_per_fu=2.68 pbc="T T T"
Re 2.276 2.276 2.262
P 0.000 0.000 2.262
S 0.000 2.276 0.000
S 2.276 0.000 0.000
Cl 0.000 0.000 0.000

Version 3
5
Lattice="4.542 0.000 0.000 0.000 4.542 0.000 0.000 0.000 4.840" Properties=species:S:1:pos:R:3 comment="RePS2Cl PBE optimized geometry" m_tot_mub_per_fu=0.00 pbc="T T T"
P 0.000 0.000 2.420
S 0.000 2.271 0.000
Cl 2.271 2.271 2.420
Re 0.000 0.000 0.000
S 2.271 0.000 0.000

Of them, the most stable is version 3 and the least stable is version 2.

Version 1
5
Lattice="-0.990 -3.881 -1.962 3.552 0.440 -2.662 3.020 -2.591 3.602" Properties=species:S:1:pos:R:3 comment="RePSCl2 PBE optimized geometry" m_tot_mub_per_fu=4.42 pbc="T T T"
Cl 1.776 0.220 -1.331
Cl -0.495 -1.941 -0.981
P 1.510 -1.296 1.801
Re 2.791 -3.016 -0.511
S 0.000 0.000 0.000

Version 2
5
Lattice="4.626 0.000 0.000 0.000 4.626 0.000 0.000 0.000 4.770" Properties=species:S:1:pos:R:3 comment="RePSCl2 PBE optimized geometry" m_tot_mub_per_fu=0.00 pbc="T T T"
Cl 0.000 2.313 0.000
S 2.313 2.313 2.385
Cl 2.313 0.000 0.000
P 0.000 0.000 2.385
Re 0.000 0.000 0.000

Of them, the most stable is version 2 and the least stable is version 1.

Version 1
5
Lattice="4.934 0.000 0.000 0.000 4.934 0.000 0.000 0.000 4.517" Properties=species:S:1:pos:R:3 comment="RePSCl2 PBE optimized geometry" m_tot_mub_per_fu=1.45 pbc="T T T"
Re 0.000 0.000 0.000
P 2.467 2.467 2.258
Cl 2.467 0.000 0.000
S 0.000 0.000 2.258
Cl 0.000 2.467 0.000

Version 2
5
Lattice="-0.439 -4.256 -1.952 4.052 0.638 -2.302 2.453 -1.982 3.769" Properties=species:S:1:pos:R:3 comment="RePSCl2 PBE optimized geometry" m_tot_mub_per_fu=5.33 pbc="T T T"
Re 3.033 -2.800 -0.242
P 0.000 0.000 0.000
Cl -0.219 -2.128 -0.976
Cl 2.026 0.319 -1.151
S 1.227 -0.991 1.885

Of them, the most stable is version 1 and the least stable is version 2.

Version 1
5
Lattice="-2.278 3.500 2.253 -1.005 -2.955 3.574 4.664 1.431 2.494" Properties=species:S:1:pos:R:3 comment="ScRePCl2 PBE optimized geometry" m_tot_mub_per_fu=4.98 pbc="T T T"
Cl -1.139 1.750 1.127
Sc 0.000 0.000 0.000
Cl -0.502 -1.477 1.787
P 2.332 0.715 1.247
Re 0.691 0.988 4.161

Version 2
5
Lattice="4.820 0.000 0.000 0.000 4.820 0.000 0.000 0.000 4.614" Properties=species:S:1:pos:R:3 comment="ScRePCl2 PBE optimized geometry" m_tot_mub_per_fu=0.01 pbc="T T T"
Cl 2.410 0.000 0.000
Cl 0.000 2.410 0.000
Re 0.000 0.000 0.000
P 0.000 0.000 2.307
Sc 2.410 2.410 2.307

Of them, the most stable is version 2 and the least stable is version 1.

Version 1
5
Lattice="4.901 0.000 0.000 0.000 4.901 0.000 0.000 0.000 5.217" Properties=species:S:1:pos:R:3 comment="ReSnPCl2 PBE optimized geometry" m_tot_mub_per_fu=4.89 pbc="T T T"
Sn 0.000 0.000 0.000
P 0.000 0.000 2.609
Cl 0.000 2.451 0.000
Re 2.451 2.451 2.609
Cl 2.451 0.000 0.000

Version 2
5
Lattice="-1.406 1.225 -4.553 -4.489 -1.800 0.902 -1.360 4.164 1.541" Properties=species:S:1:pos:R:3 comment="ReSnPCl2 PBE optimized geometry" m_tot_mub_per_fu=0.89 pbc="T T T"
Re 0.000 0.000 0.000
P -0.680 2.082 0.770
Cl -0.703 0.613 -2.276
Sn -3.628 1.795 -1.055
Cl -2.245 -0.900 0.451

Of them, the most stable is version 2 and the least stable is version 1.